! Li2PaGe2 (PBE, optimized geometry); values from VASP
&SYSTEM
  ibrav = 0, nat = 5, ntyp = 3
/
ATOMIC_SPECIES
Ge 72.64 Ge.upf
Pa 231.04 Pa.upf
Li 6.94 Li.upf
CELL_PARAMETERS angstrom
-1.6821 3.4751 -1.0545
-3.3849 -1.9213 -0.9323
0.6491 -0.0607 6.3592
ATOMIC_POSITIONS angstrom
Ge -2.9431 0.9326 0.1731
Ge -1.4747 0.5605 4.1993
Pa 0.0000 0.0000 0.0000
Li -1.7832 2.0957 2.1556
Li -2.6346 -0.6025 2.2168
! Formation energy ... -374 meV/atom
! Symmetry ... I4/mmm, No. 139
! Raw total energy ... -4.89 eV per atom